A plane-wave DFT calculation with GGA-PBE was carried out for crystalline LiCa2Au2 at its relaxed geometry.

Results
V = 120.54 Å³/f.u.
Total moment = 0.0 μB/f.u.
Total energy = -3.1492 eV/atom
Formation energy from the elements = -0.65 eV per atom

Cell: 6.1223 6.1223 7.9328 Å, 77.26 77.26 56.89°
Fractional positions:
Li1 0.1275 0.8725 0.2500
Li2 0.8725 0.1275 0.7500
Ca1 0.4918 0.2116 0.1487
Ca2 0.7884 0.5082 0.3513
Ca3 0.5082 0.7884 0.8513
Ca4 0.2116 0.4918 0.6487
Au1 0.7300 0.0083 0.5060
Au2 0.9917 0.2700 0.9940
Au3 0.2700 0.9917 0.4940
Au4 0.0083 0.7300 0.0060

=====

A plane-wave DFT calculation with GGA-PBE was carried out for crystalline Li3CaAu4 at its relaxed geometry.

Results
V = 146.02 Å³/f.u.
Total moment = 0.0 μB/f.u.
Total energy = -3.1861 eV/atom
Formation energy from the elements = -0.58 eV per atom

Cell: 4.7093 6.7074 9.2458 Å, 90.00 90.00 90.00°
Fractional positions:
Ca1 0.0000 0.5000 0.0000
Ca2 0.0000 0.5000 0.5000
Au1 0.5000 0.7773 0.0000
Au2 0.5000 0.7773 0.5000
Au3 0.5000 0.2227 0.0000
Au4 0.5000 0.2227 0.5000
Au5 0.0784 0.7802 0.7500
Au6 0.9216 0.7802 0.2500
Au7 0.9216 0.2198 0.2500
Au8 0.0784 0.2198 0.7500
Li1 0.0000 0.0000 0.0000
Li2 0.0000 0.0000 0.5000
Li3 0.5766 0.0000 0.7500
Li4 0.4234 0.0000 0.2500
Li5 0.5232 0.5000 0.7500
Li6 0.4768 0.5000 0.2500

=====

A plane-wave DFT calculation with GGA-PBE was carried out for crystalline Li2CaAu at its relaxed geometry.

Results
V = 86.11 Å³/f.u.
Total moment = 0.0 μB/f.u.
Total energy = -2.6602 eV/atom
Formation energy from the elements = -0.38 eV per atom

Cell: 5.3338 5.3338 4.9031 Å, 71.33 71.33 41.07°
Fractional positions:
Ca1 0.7500 0.7500 0.7500
Au1 0.2500 0.2500 0.2500
Li1 0.9661 0.9661 0.0695
Li2 0.5339 0.5339 0.4305